Record 1
Density functional theory data (PBE-GGA) for a relaxed ThPaZnAu crystal.

Size of the total moment ... 1.03 μB per formula unit
Mass density ... 12.5 g/cm³
Density of states at the Fermi level ... 32.3 states/eV/cell
VASP energy ... -5.472 eV per atom

a = 7.278 Å, b = 7.278 Å, c = 7.278 Å
α = 90.00°, β = 90.00°, γ = 90.00°
Space group F-43m (No. 216)
Unique sites:
Th (0.000, 0.000, 0.000)
Pa (0.000, 0.000, 0.500)
Zn (0.250, 0.250, 0.250)
Au (0.250, 0.250, 0.750)

Record 2
Density functional theory data (PBE-GGA) for a relaxed ZrNi2Ir crystal.

Size of the total moment ... 0.10 μB per formula unit
Mass density ... 11.5 g/cm³
Density of states at the Fermi level ... 12.3 states/eV/cell
VASP energy ... -7.658 eV per atom

a = 3.860 Å, b = 3.860 Å, c = 7.744 Å
α = 90.00°, β = 90.00°, γ = 90.00°
Space group I-4m2 (No. 119)
Unique sites:
Zr (0.000, 0.000, 0.000)
Ni (0.000, 0.000, 0.500)
Ni (0.000, 0.500, 0.750)
Ir (0.000, 0.500, 0.250)